CsKI3: relaxed, PBE.

a b c (Å): 6.6659 6.6659 6.6659
angles (deg): 90.00 90.00 90.00
Fractional positions:
Cs: 0.0000 0.0000 0.0000
K: 0.5000 0.5000 0.5000
I: 0.0000 0.5000 0.5000
I: 0.5000 0.0000 0.5000
I: 0.5000 0.5000 0.0000

Results
crystal system = cubic
uncorrected formation energy = -0.960 eV/atom
total moment = 0.200 μB/atom



LaMgCdAg: relaxed, PBE.

a b c (Å): 5.1980 5.1980 5.1980
angles (deg): 60.00 60.00 60.00
Fractional positions:
La: 0.0000 0.0000 0.0000
Mg: 0.5000 0.5000 0.5000
Cd: 0.2500 0.2500 0.2500
Ag: 0.7500 0.7500 0.7500

Results
crystal system = cubic
total moment = 0.000 μB/atom
energy of formation = -0.308 eV/atom



LiIrPd: relaxed, PBE.

a b c (Å): 2.7137 2.7137 6.7347
angles (deg): 90.00 90.00 120.00
Fractional positions:
Li: 0.0000 0.0000 0.0000
Ir: 0.3333 0.6667 0.6746
Pd: 0.6667 0.3333 0.3276

Results
crystal system = trigonal
energy above the lowest structure with this stoichiometry = 0.000 kcal/mol of atoms
total moment = 0.000 μB/atom
energy of formation = -0.062 eV/atom



Nd2InN: relaxed, PBE.

a b c (Å): 3.2125 3.2125 8.2969
angles (deg): 90.00 90.00 90.00
Fractional positions:
Nd: 0.0000 0.0000 0.1802
Nd: 0.0000 0.0000 0.8198
In: 0.5000 0.5000 0.5000
N: 0.5000 0.5000 0.0000

Results
crystal system = tetragonal
uncorrected formation energy = -0.463 eV/atom
total moment = 0.000 μB/atom



LaHo2Au: relaxed, PBE.

a b c (Å): 3.6319 3.6319 8.6550
angles (deg): 90.00 90.00 90.00
Fractional positions:
La: 0.0000 0.0000 0.0000
Ho: 0.5000 0.5000 0.3026
Ho: 0.5000 0.5000 0.6974
Au: 0.0000 0.0000 0.5000

Results
crystal system = tetragonal
energy above the lowest structure with this stoichiometry = 0.476 kcal/mol of atoms
total moment = 0.000 μB/atom
energy of formation = -0.408 eV/atom



SrRh2Br: relaxed, PBE.

a b c (Å): 8.5319 8.5319 8.5319
angles (deg): 23.40 23.40 23.40
Fractional positions:
Sr: 0.0000 0.0000 0.0000
Rh: 0.2395 0.2395 0.2395
Rh: 0.7605 0.7605 0.7605
Br: 0.5000 0.5000 0.5000

Results
crystal system = trigonal
uncorrected formation energy = 0.482 eV/atom
energy above the lowest structure with this stoichiometry = 17.010 kcal/mol of atoms
total moment = 0.000 μB/atom



PaBiClO4: relaxed, PBE.

a b c (Å): 6.4503 6.4503 6.9045
angles (deg): 100.59 100.59 65.95
Fractional positions:
Pa: 0.2288 0.2288 0.1108
Pa: 0.7712 0.7712 0.8892
Bi: 0.3739 0.3739 0.6691
Bi: 0.6261 0.6261 0.3309
Cl: 0.0266 0.0266 0.7760
Cl: 0.9734 0.9734 0.2240
O: 0.1208 0.5047 0.8772
O: 0.2143 0.2143 0.4223
O: 0.4150 0.4150 0.2809
O: 0.4953 0.8792 0.1228
O: 0.5047 0.1208 0.8772
O: 0.5850 0.5850 0.7191
O: 0.7857 0.7857 0.5777
O: 0.8792 0.4953 0.1228

Results
crystal system = monoclinic
uncorrected formation energy = -2.055 eV/atom
total moment = 0.000 μB/atom



BeCo2Pb: relaxed, PBE.

a b c (Å): 4.2416 4.2416 4.2416
angles (deg): 60.00 60.00 60.00
Fractional positions:
Be: 0.0000 0.0000 0.0000
Co: 0.5000 0.5000 0.5000
Co: 0.7500 0.7500 0.7500
Pb: 0.2500 0.2500 0.2500

Results
crystal system = cubic
energy above the lowest structure with this stoichiometry = 5.657 kcal/mol of atoms
total moment = 0.551 μB/atom
energy of formation = 0.544 eV/atom



Cd2InSe: relaxed, PBE.

a b c (Å): 3.6677 3.6677 8.3816
angles (deg): 90.00 90.00 112.37
Fractional positions:
Cd: 0.0000 0.0000 0.2235
Cd: 0.0000 0.0000 0.7765
In: 0.5000 0.5000 0.5000
Se: 0.5000 0.5000 0.0000

Results
crystal system = orthorhombic
uncorrected formation energy = -0.035 eV/atom
energy above the lowest structure with this stoichiometry = 3.418 kcal/mol of atoms
total moment = 0.000 μB/atom



YHgW2: relaxed, PBE.

a b c (Å): 2.8552 2.8552 9.6002
angles (deg): 90.00 90.00 90.00
Fractional positions:
Y: 0.0000 0.0000 0.0000
Hg: 0.0000 0.0000 0.5000
W: 0.5000 0.5000 0.2637
W: 0.5000 0.5000 0.7363

Results
crystal system = tetragonal
total moment = 0.000 μB/atom
energy of formation = 0.759 eV/atom



Ti3InHg: relaxed, PBE.

a b c (Å): 4.9843 4.9843 4.9843
angles (deg): 90.00 90.00 90.00
Fractional positions:
Ti: 0.0000 0.0000 0.5000
Ti: 0.0000 0.5000 0.0000
Ti: 0.5000 0.0000 0.0000
In: 0.5000 0.5000 0.5000
Hg: 0.0000 0.0000 0.0000

Results
crystal system = cubic
energy above the lowest structure with this stoichiometry = 16.609 kcal/mol of atoms
total moment = 0.155 μB/atom
energy of formation = 0.890 eV/atom



ZnFeH2Rh2: relaxed, PBE.

a b c (Å): 2.8376 2.8376 8.5578
angles (deg): 90.00 90.00 120.00
Fractional positions:
Zn: 0.0000 0.0000 0.0000
Fe: 0.0000 0.0000 0.5000
H: 0.3333 0.6667 0.3537
H: 0.6667 0.3333 0.6463
Rh: 0.3333 0.6667 0.7538
Rh: 0.6667 0.3333 0.2462

Results
crystal system = trigonal
total moment = 0.528 μB/atom



Number 1: total energy -2.281 eV/atom. Number 2: total energy -2.880 eV/atom. Number 3: total energy -5.385 eV/atom. Number 4: total energy -5.613 eV/atom. Number 5: total energy -4.748 eV/atom. Number 6: total energy -4.032 eV/atom. Number 7: total energy -7.063 eV/atom. Number 8: total energy -4.867 eV/atom. Number 9: total energy -2.048 eV/atom. Number 10: total energy -7.409 eV/atom. Number 11: total energy -4.456 eV/atom. Number 12: total energy -5.307 eV/atom.